First-principles (PBE) data for an optimized crystal structure of Pr2PuZrN4, as listed in Alexandria via LeMat-Bulk.

Unit cell a=6.027 b=3.491 c=6.135 alpha=90.00 beta=108.98 gamma=90.00
Space group P2/m (No. 10)
Symmetry-distinct sites (fractional):
Pr 0.000 0.000 0.000 x1
Pr 0.500 0.500 0.000 x1
Pu 0.000 0.500 0.500 x1
Zr 0.500 0.000 0.500 x1
N 0.245 0.000 0.714 x2
N 0.267 0.500 0.285 x2

Results
The value obtained for the formation energy without anion corrections is -1.402 eV per atom. The raw total energy comes out at -9.620 eV per atom. For the density of states at the Fermi level, the calculation gives 0.83 states/eV/atom.